Compound: LiTiCrF2
Source: the Alexandria database
Functional: GGA+U
Structure: relaxed

a = 3.9246 Å, b = 3.9246 Å, c = 6.2005 Å
α = 90.00°, β = 90.00°, γ = 90.00°
Space group P4/mmm (No. 123)
Asymmetric unit:
Li (0.0000, 0.0000, 0.0000) x1
Ti (0.0000, 0.0000, 0.5000) x1
Cr (0.5000, 0.5000, 0.0000) x1
F (0.0000, 0.5000, 0.5000) x2

Values from the calculation:
Total magnetization = 6.199 μB/f.u.
Total DFT energy (no corrections) = -26.944 eV/cell